VASP calculation (PBE) on crystalline MgRe at its relaxed geometry.

Lattice parameters (Å, degrees): 4.5529 11.7712 4.9270 90.00 90.00 90.00
With the nearest neighbours (Å) after each atom.
Space group Pmmn (No. 59, origin choice 2)
Symmetry-distinct sites (fractional):
Mg  0.2500  0.0001  0.1776 x4  6 Mg 2.77-2.93, 6 Re 2.95-3.06
Mg  0.2500  0.1222  0.6586 x4  5 Mg 2.77-3.01, 6 Re 2.79-2.97
Re  0.2500  0.2500  0.1386 x2  6 Re 2.76-2.80, 6 Mg 2.80-2.97
Re  0.2500  0.6461  0.6632 x4  2 Re 2.45-2.62
Re  0.2500  0.7500  0.1934 x2  6 Re 2.62-2.88, 4 Mg 2.82

Results
- E: -106.102 eV for the cell shown
- Spin magnetization: 0.000 μB per atom

=====

VASP calculation (PBE) on crystalline TbHfAsO at its relaxed geometry.

Lattice parameters (Å, degrees): 5.1415 4.0476 7.5839 90.00 90.00 90.00
With the nearest neighbours (Å) after each atom.
Space group Pmma (No. 51)
Symmetry-distinct sites (fractional):
Tb  0.2500  0.0000  0.1377 x2  3 O 2.35-2.58
Hf  0.2500  0.5000  0.7511 x2  2 O 2.11
As  0.2500  0.5000  0.3923 x2  3 Hf 2.72-2.79, 2 Tb 2.80, 2 As 3.05
O  0.2500  0.0000  0.8282 x2  2 Hf 2.11, 1 Tb 2.35

Results
- E: -62.411 eV for the cell shown
- Spin magnetization: 0.002 μB per atom

=====

VASP calculation (PBE) on crystalline CuSnTe at its relaxed geometry.

Lattice parameters (Å, degrees): 8.9886 4.2689 8.1747 90.00 90.00 90.00
With the nearest neighbours (Å) after each atom.
Space group Pnma (No. 62)
Symmetry-distinct sites (fractional):
Cu  0.0069  0.2500  0.0841 x4  2 Cu 2.54, 3 Te 2.62-2.68, 1 Sn 2.63
Sn  0.0788  0.7500  0.6082 x4  1 Cu 2.63
Te  0.1690  0.7500  0.1707 x4  3 Cu 2.62-2.68

Results
- E: -43.351 eV for the cell shown